# LaNdTm2 (GGA-PBE, optimized geometry)
# Formation energy: 0.4556 eV per atom
# E above lowest polymorph: 438 meV/atom
# Electronic total energy: -33.632 eV per cell
# D(E_F): 1.65 states/eV per atom
# ρ: 6.90 Mg/m³
data_LaNdTm2
_cell_length_a 6.1347
_cell_length_b 5.5610
_cell_length_c 8.8522
_cell_angle_alpha 90.00
_cell_angle_beta 98.35
_cell_angle_gamma 90.00
_symmetry_space_group_name_H-M 'P 1 2/m 1'
_symmetry_Int_Tables_number 10
_symmetry_space_group_name_Hall '-P 2y'
loop_
_atom_site_label
_atom_site_fract_x
_atom_site_fract_y
_atom_site_fract_z
La1 0.0000 0.0000 0.0000
La2 0.5000 0.5000 0.5000
Nd1 0.1019 0.5000 0.7108
Tm1 0.2380 0.0000 0.3975
Tm2 0.3370 0.5000 0.1272

=====

# La2Nd8Tm (GGA-PBE, optimized geometry)
# Formation energy: 0.1177 eV per atom
# E above lowest polymorph: 0 meV/atom
# Electronic total energy: -102.348 eV per cell
# D(E_F): 1.61 states/eV per atom
# ρ: 6.80 Mg/m³
data_La2Nd8Tm
_cell_length_a 11.4655
_cell_length_b 7.5007
_cell_length_c 9.4929
_cell_angle_alpha 90.00
_cell_angle_beta 106.81
_cell_angle_gamma 90.00
_symmetry_space_group_name_H-M 'C 1 2/m 1'
_symmetry_Int_Tables_number 12
_symmetry_space_group_name_Hall '-C 2y'
loop_
_atom_site_label
_atom_site_fract_x
_atom_site_fract_y
_atom_site_fract_z
La1 0.1429 0.0000 0.1356
Nd1 0.0635 0.2851 0.7734
Nd2 0.1880 0.5000 0.1337
Nd3 0.1903 0.5000 0.4982
Tm1 0.0000 0.0000 0.5000